Computed, not measured: a relaxed CsCo2Ni crystal at the GGA-PBE level of DFT.

The energy of formation from the pure elements is 1.588 eV per atom. The uncorrected energy is -3.6233 eV/atom. The space group is Fm-3m (225).

CIF file:
```
data_CsCo2Ni
_chemical_formula_sum 'Cs4 Co8 Ni4'
_cell_length_a 6.403
_cell_length_b 6.403
_cell_length_c 6.403
_cell_angle_alpha 90.00
_cell_angle_beta 90.00
_cell_angle_gamma 90.00
_symmetry_space_group_name_H-M 'P 1'
_symmetry_Int_Tables_number 1
loop_
_symmetry_equiv_pos_as_xyz
'x,y,z'
loop_
_atom_site_label
_atom_site_fract_x
_atom_site_fract_y
_atom_site_fract_z
Cs1 0.000 0.000 0.000
Cs2 0.000 0.500 0.500
Cs3 0.500 0.000 0.500
Cs4 0.500 0.500 0.000
Co1 0.250 0.250 0.250
Co2 0.250 0.250 0.750
Co3 0.250 0.750 0.250
Co4 0.250 0.750 0.750
Co5 0.750 0.250 0.250
Co6 0.750 0.250 0.750
Co7 0.750 0.750 0.250
Co8 0.750 0.750 0.750
Ni1 0.000 0.000 0.500
Ni2 0.000 0.500 0.000
Ni3 0.500 0.000 0.000
Ni4 0.500 0.500 0.500
```